Ba2GeRuCl | PBE | relaxed

Cell and atoms, written as POSCAR:
```
Ba2GeRuCl
1.0
-4.5349 -1.4458 3.7175
-2.6761 -0.4446 -3.4374
1.5124 -5.8317 -0.4232
Ba Ru Ge Cl
2 1 1 1
direct
0.5000 0.0000 0.0000 Ba
0.0000 0.0000 0.5000 Ba
0.0000 0.5000 0.0000 Ru
0.5000 0.5000 0.5000 Ge
0.0000 0.0000 0.0000 Cl
```

M_tot	0.000	Bohr magnetons per cell
Fermi-level density of states	5.51	states/eV per cell
SG	P4/mmm
raw formation energy	-3.2	kcal/mol of atoms
energy	-20.3	eV/cell

=====

Na2CdGeS4 | PBE | relaxed

Cell and atoms, written as POSCAR:
```
Na2CdGeS4
1.0
6.7659 0.0000 0.0000
0.0000 7.7549 0.0000
0.0000 0.0000 7.9013
S Na Ge Cd
8 4 2 2
direct
0.3290 0.1589 0.0000 S
0.9049 0.3144 0.2305 S
0.3751 0.1025 0.5000 S
0.8290 0.8411 0.5000 S
0.4049 0.6856 0.2695 S
0.4049 0.6856 0.7305 S
0.8751 0.8975 0.0000 S
0.9049 0.3144 0.7695 S
0.9964 0.6657 0.2420 Na
0.4964 0.3343 0.7420 Na
0.9964 0.6657 0.7580 Na
0.4964 0.3343 0.2580 Na
0.4994 0.8369 0.5000 Ge
0.9994 0.1631 0.0000 Ge
0.4940 0.8660 0.0000 Cd
0.9940 0.1340 0.5000 Cd
```

M_tot	0.000	Bohr magnetons per cell
Fermi-level density of states	0.00	states/eV per cell
SG	Pmn2_1
raw formation energy	-17.9	kcal/mol of atoms
energy	-61.7	eV/cell

=====

SiNiIr2 | PBE | relaxed

Cell and atoms, written as POSCAR:
```
SiNiIr2
1.0
2.7770 0.0027 0.0000
-1.3368 2.4340 0.0000
0.0000 0.0000 8.1726
Si Ni Ir
1 1 2
direct
0.5000 0.5000 0.7500 Si
0.5000 0.5000 0.2500 Ni
0.0000 0.0000 0.9817 Ir
0.0000 0.0000 0.5183 Ir
```

M_tot	0.202	Bohr magnetons per cell
Fermi-level density of states	4.44	states/eV per cell
SG	Cmmm
raw formation energy	0.5	kcal/mol of atoms
energy	-28.8	eV/cell

=====

H2PtRh | PBE | relaxed

Cell and atoms, written as POSCAR:
```
H2PtRh
1.0
-1.6044 -2.0842 -1.1079
0.4867 -2.7161 0.7289
-3.7635 -1.1282 3.8964
H Rh Pt
2 1 1
direct
0.1127 0.1127 0.6619 H
0.8873 0.8873 0.3381 H
0.5000 0.5000 0.5000 Rh
0.0000 0.0000 0.0000 Pt
```

M_tot	0.000	Bohr magnetons per cell
Fermi-level density of states	4.21	states/eV per cell
SG	R-3m
energy	-19.9	eV/cell
offset from the most stable computed form	0	meV/atom

=====

PRu3W | PBE | relaxed

Cell and atoms, written as POSCAR:
```
PRu3W
1.0
-3.1821 2.5943 -1.2813
-0.8837 -2.6849 -3.2416
-2.7552 -2.1351 2.5195
Ru P W
3 1 1
direct
0.0000 0.0000 0.5000 Ru
0.5000 0.0000 0.0000 Ru
0.0000 0.5000 0.0000 Ru
0.0000 0.0000 0.0000 P
0.5000 0.5000 0.5000 W
```

M_tot	1.422	Bohr magnetons per cell
Fermi-level density of states	7.31	states/eV per cell
SG	Pm-3m
energy	-42.8	eV/cell
formation energy	3.42	eV/f.u.
offset from the most stable computed form	0	meV/atom

=====

UAgSnPt | PBE | relaxed

Cell and atoms, written as POSCAR:
```
UAgSnPt
1.0
-2.3659 -4.1652 -1.0784
0.6531 -2.1325 -4.3743
2.4860 -4.2216 -0.3265
Pt Ag U Sn
1 1 1 1
direct
0.0000 0.0000 0.0000 Pt
0.5000 0.5000 0.5000 Ag
0.2500 0.2500 0.2500 U
0.7500 0.7500 0.7500 Sn
```

M_tot	2.373	Bohr magnetons per cell
Fermi-level density of states	7.60	states/eV per cell
SG	F-43m
energy	-25.1	eV/cell
formation energy	-0.91	eV/f.u.